5
Lattice="-1.119 3.863 -2.668 -4.303 0.254 2.172 1.879 2.882 3.385" Properties=species:S:1:pos:R:3 comment="Zn3AgSe GGA-PBEsol relaxed" e_above_lowest_polymorph_mev_per_atom=158 dos_ef_per_ev_fu=1.2 raw_formation_energy_ev_per_atom=0.6211 magmom_total_mub_per_atom=0.000 final_energy_ev_per_atom=-1.760 pbc="T T T"
Ag -1.772 3.500 1.444
Zn 0.939 1.441 1.693
Zn -2.151 0.127 1.086
Zn -0.559 1.932 -1.334
Se 0.000 0.000 0.000